First-principles (PBE) data for an optimized crystal structure of CrInAs, as listed in Alexandria.

Geometry as extended XYZ:
```
6
Lattice="-1.8563 1.8008 -1.6034 -1.5240 -0.3742 4.2330 6.0631 6.0234 2.6245" Properties=species:S:1:pos:R:3 pbc="T T T"
Cr -1.9331 0.7321 2.0003
Cr 3.1464 5.9776 2.0001
As -1.5279 1.8119 -0.1424
As 1.7770 6.2544 3.8988
In 2.5422 3.2588 2.5313
In 0.1894 1.8637 3.7024
```

Values from the calculation:
DOS at the Fermi energy (states/eV/cell): 3.666
Formation energy (eV/atom): 0.038
Magnetization (μB/cell): 0.7


First-principles (PBE) data for an optimized crystal structure of SiC3Cl, as listed in Alexandria.

Geometry as extended XYZ:
```
5
Lattice="-0.2568 1.7859 3.2637 -0.7677 -3.2265 1.7051 3.6403 -0.5544 0.5898" Properties=species:S:1:pos:R:3 pbc="T T T"
Si 1.3079 -0.9975 2.7793
C -0.3838 -1.6132 0.8526
C 1.8201 -0.2772 0.2949
C -0.1284 0.8929 1.6318
Cl 0.0000 0.0000 0.0000
```

Values from the calculation:
DFT total energy (eV per atom): -3.532
DOS at the Fermi energy (states/eV/cell): 2.716
Magnetization (μB/cell): 0.0


First-principles (PBE) data for an optimized crystal structure of RbNa2Hg2, as listed in Alexandria.

Geometry as extended XYZ:
```
5
Lattice="5.0435 0.0000 0.0000 0.0000 5.0435 0.0000 2.5217 2.5217 7.0586" Properties=species:S:1:pos:R:3 pbc="T T T"
Na 5.0435 2.5217 3.5293
Na 2.5217 5.0435 3.5293
Hg 2.5217 2.5217 1.5090
Hg 5.0435 5.0435 5.5496
Rb 0.0000 0.0000 0.0000
```

Values from the calculation:
DOS at the Fermi energy (states/eV/cell): 2.737
Formation energy (eV/atom): -0.187
Magnetization (μB/cell): 0.0


First-principles (PBE) data for an optimized crystal structure of Ag4IrO5, as listed in Alexandria.

Geometry as extended XYZ:
```
10
Lattice="4.4578 0.0000 0.0000 2.2289 5.5574 0.0000 2.2289 0.0000 5.5574" Properties=species:S:1:pos:R:3 pbc="T T T"
Ag 4.4625 2.1615 4.4851
Ag 6.6914 4.4851 3.3958
Ag 2.2335 1.0723 2.1615
Ag 4.4625 3.3958 1.0723
Ir 0.0046 0.0000 0.0000
O 6.6913 1.5724 4.3882
O 4.4624 4.3882 3.9850
O 4.4624 1.1691 1.5724
O 2.2335 3.9850 1.1691
O 2.2335 0.0000 0.0000
```

Values from the calculation:
DFT total energy (eV per atom): -4.653
DOS at the Fermi energy (states/eV/cell): 6.118
Magnetization (μB/cell): 0.0


First-principles (PBE) data for an optimized crystal structure of PmPaSN2, as listed in Alexandria.

Geometry as extended XYZ:
```
5
Lattice="3.8830 0.0000 0.0000 0.0000 3.8830 0.0000 -1.9415 -1.9415 6.0949" Properties=species:S:1:pos:R:3 pbc="T T T"
Pm 1.9415 1.9415 4.2859
Pa 0.0000 0.0000 1.9598
S 1.9415 1.9415 0.0491
N 1.9415 0.0000 2.9476
N 0.0000 1.9415 2.9476
```

Values from the calculation:
DFT total energy (eV per atom): -8.741
Magnetization (μB/cell): 0.0


First-principles (PBE) data for an optimized crystal structure of KFeIr2, as listed in Alexandria.

Geometry as extended XYZ:
```
4
Lattice="2.7531 0.0472 0.0000 -1.2510 2.4529 0.0000 0.0000 0.0000 9.8065" Properties=species:S:1:pos:R:3 pbc="T T T"
Fe 0.7510 1.2501 7.3549
Ir 0.0000 0.0000 9.4224
Ir 0.0000 0.0000 5.2874
K 0.7510 1.2501 2.4516
```

Values from the calculation:
DOS at the Fermi energy (states/eV/cell): 3.255
Formation energy (eV/atom): 0.497
Magnetization (μB/cell): 4.1


First-principles (PBE) data for an optimized crystal structure of Mg3SnPb, as listed in Alexandria.

Geometry as extended XYZ:
```
10
Lattice="-0.6644 -4.5641 -4.4934 -0.9312 -7.9283 3.5768 -5.9010 -3.7887 0.1070" Properties=species:S:1:pos:R:3 pbc="T T T"
Mg -3.4660 -9.4117 3.5463
Mg -6.1349 -8.8763 -1.2218
Mg -6.1550 -9.6594 1.8739
Mg -5.8042 -6.6040 1.0155
Mg -3.7741 -10.9187 -1.8130
Mg -3.8003 -11.7085 1.2849
Sn -2.6080 -4.3675 0.5877
Sn -6.3926 -8.2839 -4.1020
Pb -3.5329 -8.6832 0.4944
Pb -6.4006 -11.8985 -0.4293
```

Values from the calculation:
DOS at the Fermi energy (states/eV/cell): 3.863
Formation energy (eV/atom): 0.016
Magnetization (μB/cell): 0.0


First-principles (PBE) data for an optimized crystal structure of Ca4TcN5, as listed in Alexandria.

Geometry as extended XYZ:
```
10
Lattice="5.0842 0.0000 0.0000 2.5421 5.2685 0.0000 2.5421 0.0000 5.2685" Properties=species:S:1:pos:R:3 pbc="T T T"
Ca 5.1122 2.1510 4.2423
Ca 7.6543 4.2423 3.1174
Ca 2.5701 1.0261 2.1510
Ca 5.1122 3.1174 1.0261
Tc 0.3567 0.0000 0.0000
N 7.6201 1.7846 4.3581
N 5.0780 4.3581 3.4839
N 5.0780 0.9104 1.7846
N 2.5359 3.4839 0.9104
N 2.1504 0.0000 0.0000
```

Values from the calculation:
DFT total energy (eV per atom): -6.733
Magnetization (μB/cell): 0.0